(1)
# LaNiHS2 | Alexandria via LeMat-Bulk | PBE | optimized geometry
# Fermi-level density of states: 2.647 states/eV/f.u.
# energy: -27.5 eV per cell
# crystal system: tetragonal
# space group: P4/mmm, No. 123
# ρ: 5.47 g/cm³
data_LaNiHS2
_chemical_formula_sum 'La1 Ni1 H1 S2'
_cell_length_a 4.6570
_cell_length_b 4.6570
_cell_length_c 3.6742
_cell_angle_alpha 90.00
_cell_angle_beta 90.00
_cell_angle_gamma 90.00
_space_group_name_H-M_alt 'P 1'
_space_group_IT_number 1
loop_
_space_group_symop_operation_xyz
'x,y,z'
loop_
_atom_site_label
_atom_site_fract_x
_atom_site_fract_y
_atom_site_fract_z
Ni1 0.0000 0.0000 0.0000
S1 0.0000 0.5000 0.0000
S2 0.5000 0.0000 0.0000
H1 0.0000 0.0000 0.5000
La1 0.5000 0.5000 0.5000

=====

(2)
# La2NiSbH | Alexandria via LeMat-Bulk | PBE | optimized geometry
# Fermi-level density of states: 5.207 states/eV/f.u.
# energy: -25.9 eV per cell
# crystal system: tetragonal
# space group: P4/mmm, No. 123
# ρ: 7.00 g/cm³
data_La2NiSbH
_chemical_formula_sum 'La2 Ni1 Sb1 H1'
_cell_length_a 5.2675
_cell_length_b 5.2675
_cell_length_c 3.9272
_cell_angle_alpha 90.00
_cell_angle_beta 90.00
_cell_angle_gamma 90.00
_space_group_name_H-M_alt 'P 1'
_space_group_IT_number 1
loop_
_space_group_symop_operation_xyz
'x,y,z'
loop_
_atom_site_label
_atom_site_fract_x
_atom_site_fract_y
_atom_site_fract_z
Sb1 0.5000 0.5000 0.5000
Ni1 0.0000 0.0000 0.5000
H1 0.0000 0.0000 0.0000
La1 0.0000 0.5000 0.0000
La2 0.5000 0.0000 0.0000

=====

(3)
# LaNiSbH2 | Alexandria via LeMat-Bulk | PBE | optimized geometry
# Fermi-level density of states: 0.908 states/eV/f.u.
# energy: -48.8 eV per cell
# crystal system: orthorhombic
# space group: Cmcm, No. 63
# ρ: 7.19 g/cm³
data_LaNiSbH2
_chemical_formula_sum 'La2 Ni2 Sb2 H4'
_cell_length_a 4.1596
_cell_length_b 5.9227
_cell_length_c 6.4372
_cell_angle_alpha 90.00
_cell_angle_beta 90.00
_cell_angle_gamma 110.56
_space_group_name_H-M_alt 'P 1'
_space_group_IT_number 1
loop_
_space_group_symop_operation_xyz
'x,y,z'
loop_
_atom_site_label
_atom_site_fract_x
_atom_site_fract_y
_atom_site_fract_z
La1 0.7132 0.4265 0.7500
La2 0.2868 0.5735 0.2500
Ni1 0.0000 0.0000 0.0000
Ni2 0.0000 0.0000 0.5000
Sb1 0.4365 0.8730 0.7500
Sb2 0.5635 0.1270 0.2500
H1 0.1443 0.2885 0.9458
H2 0.8557 0.7115 0.0542
H3 0.1443 0.2885 0.5542
H4 0.8557 0.7115 0.4458

=====

(4)
# LaNiSbH | Alexandria via LeMat-Bulk | PBE | optimized geometry
# Fermi-level density of states: 1.884 states/eV/f.u.
# energy: -21.4 eV per cell
# crystal system: trigonal
# space group: P3m1, No. 156
# ρ: 7.26 g/cm³
data_LaNiSbH
_chemical_formula_sum 'La1 Ni1 Sb1 H1'
_cell_length_a 4.3894
_cell_length_b 4.3890
_cell_length_c 4.3904
_cell_angle_alpha 90.00
_cell_angle_beta 90.00
_cell_angle_gamma 120.00
_space_group_name_H-M_alt 'P 1'
_space_group_IT_number 1
loop_
_space_group_symop_operation_xyz
'x,y,z'
loop_
_atom_site_label
_atom_site_fract_x
_atom_site_fract_y
_atom_site_fract_z
La1 0.5719 0.1438 0.3086
Ni1 0.2387 0.4773 0.8854
Sb1 0.9052 0.8105 0.7978
H1 0.2386 0.4771 0.2473

=====

(5)
# La2ScNi3H12 | Alexandria via LeMat-Bulk | PBE | optimized geometry
# Fermi-level density of states: 4.112 states/eV/f.u.
# energy: -79.9 eV per cell
# crystal system: trigonal
# space group: R-3m, No. 166
# ρ: 5.32 g/cm³
data_La2ScNi3H12
_chemical_formula_sum 'La2 Sc1 Ni3 H12'
_cell_length_a 6.0536
_cell_length_b 6.0536
_cell_length_c 6.0536
_cell_angle_alpha 60.75
_cell_angle_beta 60.75
_cell_angle_gamma 60.75
_space_group_name_H-M_alt 'P 1'
_space_group_IT_number 1
loop_
_space_group_symop_operation_xyz
'x,y,z'
loop_
_atom_site_label
_atom_site_fract_x
_atom_site_fract_y
_atom_site_fract_z
La1 0.6151 0.6151 0.6151
La2 0.3849 0.3849 0.3849
Sc1 0.0000 0.0000 0.0000
Ni1 0.5000 0.0000 0.0000
Ni2 0.0000 0.5000 0.0000
Ni3 0.0000 0.0000 0.5000
H1 0.2978 0.2978 0.8792
H2 0.8818 0.8818 0.4027
H3 0.4027 0.8818 0.8818
H4 0.8792 0.2978 0.2978
H5 0.8818 0.4027 0.8818
H6 0.2978 0.8792 0.2978
H7 0.7022 0.7022 0.1208
H8 0.1182 0.1182 0.5973
H9 0.5973 0.1182 0.1182
H10 0.1208 0.7022 0.7022
H11 0.1182 0.5973 0.1182
H12 0.7022 0.1208 0.7022

=====

(6)
# LaScNi2H8 | Alexandria via LeMat-Bulk | PBE | optimized geometry
# Fermi-level density of states: 4.180 states/eV/f.u.
# energy: -52.9 eV per cell
# crystal system: trigonal
# space group: R-3, No. 148
# ρ: 4.54 g/cm³
data_LaScNi2H8
_chemical_formula_sum 'La1 Sc1 Ni2 H8'
_cell_length_a 4.5496
_cell_length_b 4.5496
_cell_length_c 6.8391
_cell_angle_alpha 70.57
_cell_angle_beta 70.57
_cell_angle_gamma 60.00
_space_group_name_H-M_alt 'P 1'
_space_group_IT_number 1
loop_
_space_group_symop_operation_xyz
'x,y,z'
loop_
_atom_site_label
_atom_site_fract_x
_atom_site_fract_y
_atom_site_fract_z
La1 0.5000 0.5000 0.5000
Sc1 0.0000 0.0000 0.0000
Ni1 0.2638 0.2638 0.2087
Ni2 0.7362 0.7362 0.7913
H1 0.1805 0.1805 0.4584
H2 0.5882 0.3227 0.1821
H3 0.8195 0.8195 0.5416
H4 0.9070 0.5882 0.1821
H5 0.0930 0.4118 0.8179
H6 0.3227 0.9070 0.1821
H7 0.6773 0.0930 0.8179
H8 0.4118 0.6773 0.8179

=====

(7)
# LaSiNi2H | Alexandria via LeMat-Bulk | PBE | optimized geometry
# Fermi-level density of states: 1.860 states/eV/f.u.
# energy: -57.2 eV per cell
# crystal system: orthorhombic
# space group: Cmcm, No. 63
# ρ: 6.82 g/cm³
data_LaSiNi2H
_chemical_formula_sum 'La2 Si2 Ni4 H2'
_cell_length_a 3.8720
_cell_length_b 5.7037
_cell_length_c 6.6942
_cell_angle_alpha 90.00
_cell_angle_beta 90.00
_cell_angle_gamma 109.84
_space_group_name_H-M_alt 'P 1'
_space_group_IT_number 1
loop_
_space_group_symop_operation_xyz
'x,y,z'
loop_
_atom_site_label
_atom_site_fract_x
_atom_site_fract_y
_atom_site_fract_z
La1 0.4366 0.8733 0.7500
La2 0.5634 0.1267 0.2500
Si1 0.7188 0.4377 0.7500
Si2 0.2812 0.5623 0.2500
Ni1 0.1720 0.3440 0.9409
Ni2 0.8280 0.6560 0.0591
Ni3 0.1720 0.3440 0.5591
Ni4 0.8280 0.6560 0.4409
H1 0.0000 0.0000 0.0000
H2 0.0000 0.0000 0.5000

=====

(8)
# La2Si2Ni2H | Alexandria via LeMat-Bulk | PBE | optimized geometry
# Fermi-level density of states: 3.859 states/eV/f.u.
# energy: -40.4 eV per cell
# crystal system: monoclinic
# space group: C2/m, No. 12
# ρ: 6.35 g/cm³
data_La2Si2Ni2H
_chemical_formula_sum 'La2 Si2 Ni2 H1'
_cell_length_a 4.0886
_cell_length_b 5.8864
_cell_length_c 5.6581
_cell_angle_alpha 76.91
_cell_angle_beta 68.82
_cell_angle_gamma 69.68
_space_group_name_H-M_alt 'P 1'
_space_group_IT_number 1
loop_
_space_group_symop_operation_xyz
'x,y,z'
loop_
_atom_site_label
_atom_site_fract_x
_atom_site_fract_y
_atom_site_fract_z
La1 0.5580 0.1721 0.7119
La2 0.4420 0.8279 0.2881
Si1 0.1549 0.3982 0.2920
Si2 0.8451 0.6018 0.7080
Ni1 0.2109 0.6706 0.9076
Ni2 0.7891 0.3294 0.0924
H1 0.0000 0.0000 0.0000

=====

(9)
# La2SiNiH | Alexandria via LeMat-Bulk | PBE | optimized geometry
# Fermi-level density of states: 2.815 states/eV/f.u.
# excess energy over the best structure of this formula in the dataset: 0.199 eV/atom
# energy: -26.5 eV per cell
# crystal system: tetragonal
# space group: P4/mmm, No. 123
# ρ: 6.18 g/cm³
data_La2SiNiH
_chemical_formula_sum 'La2 Si1 Ni1 H1'
_cell_length_a 5.2291
_cell_length_b 5.2291
_cell_length_c 3.5939
_cell_angle_alpha 90.00
_cell_angle_beta 90.00
_cell_angle_gamma 90.00
_space_group_name_H-M_alt 'P 1'
_space_group_IT_number 1
loop_
_space_group_symop_operation_xyz
'x,y,z'
loop_
_atom_site_label
_atom_site_fract_x
_atom_site_fract_y
_atom_site_fract_z
Ni1 0.0000 0.0000 0.5000
Si1 0.5000 0.5000 0.5000
H1 0.0000 0.0000 0.0000
La1 0.0000 0.5000 0.0000
La2 0.5000 0.0000 0.0000

=====

(10)
# La2SiNiH | Alexandria via LeMat-Bulk | PBE | optimized geometry
# Fermi-level density of states: 3.794 states/eV/f.u.
# excess energy over the best structure of this formula in the dataset: 0.000 eV/atom
# energy: -54.9 eV per cell
# crystal system: monoclinic
# space group: P2_1/m, No. 11
# ρ: 5.94 g/cm³
data_La2SiNiH
_chemical_formula_sum 'La4 Si2 Ni2 H2'
_cell_length_a 4.1678
_cell_length_b 6.2253
_cell_length_c 8.2345
_cell_angle_alpha 106.90
_cell_angle_beta 90.00
_cell_angle_gamma 90.00
_space_group_name_H-M_alt 'P 1'
_space_group_IT_number 1
loop_
_space_group_symop_operation_xyz
'x,y,z'
loop_
_atom_site_label
_atom_site_fract_x
_atom_site_fract_y
_atom_site_fract_z
La1 0.7500 0.7773 0.5896
La2 0.7500 0.7553 0.0340
La3 0.2500 0.2227 0.4104
La4 0.2500 0.2447 0.9660
Si1 0.2500 0.6632 0.2920
Si2 0.7500 0.3368 0.7080
Ni1 0.2500 0.5399 0.7574
Ni2 0.7500 0.4601 0.2426
H1 0.2500 0.8156 0.8266
H2 0.7500 0.1844 0.1734